1.
Computed, not measured: an optimized crystal structure of ScTaPb at the GGA-PBEsol level of DFT.

Values from the calculation:
Size of the total moment, μB/f.u.: 0.0
Space group: I4mm, No. 107
Total energy, eV/atom: -7.60
V, Å³/atom: 21.4
DFT formation energy, eV/atom: 0.114
Density of states at the Fermi level, states/eV per cell: 2.0

Cell lengths 3.0506, 3.0506, 13.7688 Å; angles 90.00, 90.00, 90.00 degrees
Element x y z (fractional)
Sc (0.0000, 0.0000, 0.0000)
Sc (0.5000, 0.5000, 0.5000)
Ta (0.0000, 0.0000, 0.6521)
Ta (0.5000, 0.5000, 0.1521)
Pb (0.0000, 0.0000, 0.3191)
Pb (0.5000, 0.5000, 0.8191)

2.
Computed, not measured: an optimized crystal structure of SrFe2Ag at the GGA-PBEsol level of DFT.

Values from the calculation:
Size of the total moment, μB/f.u.: 5.2
Space group: P2/m, No. 10
Total energy, eV/atom: -5.09
V, Å³/atom: 19.6
DFT formation energy, eV/atom: 0.676
Density of states at the Fermi level, states/eV per cell: 3.8

Cell lengths 3.0051, 4.6295, 5.7250 Å; angles 90.00, 99.42, 90.00 degrees
Element x y z (fractional)
Sr (0.0000, 0.0000, 0.0000)
Fe (0.2823, 0.5000, 0.6545)
Fe (0.7177, 0.5000, 0.3455)
Ag (0.5000, 0.0000, 0.5000)

3.
Computed, not measured: an optimized crystal structure of Fe3Co4 at the GGA-PBEsol level of DFT.

Values from the calculation:
Size of the total moment, μB/f.u.: 14.5
Space group: R-3m, No. 166
Total energy, eV/atom: -8.22
Energy relative to the lowest polymorph listed for this composition, meV/atom: 37
V, Å³/atom: 10.8
DFT formation energy, eV/atom: 0.042
Density of states at the Fermi level, states/eV per cell: 6.5

Cell lengths 6.0545, 6.0545, 6.0545 Å; angles 38.04, 38.04, 38.04 degrees
Element x y z (fractional)
Fe (0.0000, 0.0000, 0.0000)
Fe (0.2851, 0.2851, 0.2851)
Fe (0.7149, 0.7149, 0.7149)
Co (0.1441, 0.1441, 0.1441)
Co (0.4281, 0.4281, 0.4281)
Co (0.5719, 0.5719, 0.5719)
Co (0.8559, 0.8559, 0.8559)

4.
Computed, not measured: an optimized crystal structure of BaPbAu4 at the GGA-PBEsol level of DFT.

Values from the calculation:
Size of the total moment, μB/f.u.: 0.0
Space group: F-43m, No. 216
Total energy, eV/atom: -3.98
V, Å³/atom: 22.1
DFT formation energy, eV/atom: -0.339
Density of states at the Fermi level, states/eV per cell: 3.1

Cell lengths 5.7268, 5.7268, 5.7268 Å; angles 60.00, 60.00, 60.00 degrees
Element x y z (fractional)
Ba (0.0000, 0.0000, 0.0000)
Pb (0.7500, 0.7500, 0.7500)
Au (0.3755, 0.3755, 0.3755)
Au (0.3755, 0.3755, 0.8736)
Au (0.3755, 0.8736, 0.3755)
Au (0.8736, 0.3755, 0.3755)

5.
Computed, not measured: an optimized crystal structure of Tl2AgHg at the GGA-PBEsol level of DFT.

Values from the calculation:
Size of the total moment, μB/f.u.: 0.0
Space group: R3m, No. 160
Total energy, eV/atom: -2.21
Energy relative to the lowest polymorph listed for this composition, meV/atom: 11
V, Å³/atom: 23.7
DFT formation energy, eV/atom: 0.078
Density of states at the Fermi level, states/eV per cell: 4.7

Cell lengths 3.3105, 3.3105, 29.9369 Å; angles 90.00, 90.00, 120.00 degrees
Element x y z (fractional)
Tl (0.0000, 0.0000, 0.0000)
Tl (0.0000, 0.0000, 0.2372)
Tl (0.3333, 0.6667, 0.6667)
Tl (0.3333, 0.6667, 0.9039)
Tl (0.6667, 0.3333, 0.3333)
Tl (0.6667, 0.3333, 0.5705)
Ag (0.0000, 0.0000, 0.4932)
Ag (0.3333, 0.6667, 0.1599)
Ag (0.6667, 0.3333, 0.8265)
Hg (0.0000, 0.0000, 0.7544)
Hg (0.3333, 0.6667, 0.4210)
Hg (0.6667, 0.3333, 0.0877)

6.
Computed, not measured: an optimized crystal structure of CdPtAu2 at the GGA-PBEsol level of DFT.

Values from the calculation:
Size of the total moment, μB/f.u.: 0.0
Space group: Pmmm, No. 47
Total energy, eV/atom: -4.10
V, Å³/atom: 16.8
DFT formation energy, eV/atom: -0.095
Density of states at the Fermi level, states/eV per cell: 1.1

Cell lengths 2.8939, 4.0227, 5.7869 Å; angles 90.00, 90.00, 90.00 degrees
Element x y z (fractional)
Cd (0.0000, 0.0000, 0.0000)
Pt (0.0000, 0.0000, 0.5000)
Au (0.5000, 0.5000, 0.2557)
Au (0.5000, 0.5000, 0.7443)

7.
Computed, not measured: an optimized crystal structure of Zr2AgAu at the GGA-PBEsol level of DFT.

Values from the calculation:
Size of the total moment, μB/f.u.: 0.0
Space group: I4/mmm, No. 139
Total energy, eV/atom: -6.66
V, Å³/atom: 18.7
DFT formation energy, eV/atom: -0.306
Density of states at the Fermi level, states/eV per cell: 8.1

Cell lengths 4.2341, 4.2341, 8.3666 Å; angles 90.00, 90.00, 90.00 degrees
Element x y z (fractional)
Zr (0.0000, 0.5000, 0.2500)
Zr (0.0000, 0.5000, 0.7500)
Zr (0.5000, 0.0000, 0.2500)
Zr (0.5000, 0.0000, 0.7500)
Ag (0.0000, 0.0000, 0.0000)
Ag (0.5000, 0.5000, 0.5000)
Au (0.0000, 0.0000, 0.5000)
Au (0.5000, 0.5000, 0.0000)

8.
Computed, not measured: an optimized crystal structure of Li5SbS at the GGA-PBEsol level of DFT.

Values from the calculation:
Formation energy from raw total energies, eV/atom: -0.89
Size of the total moment, μB/f.u.: 0.0
Space group: Pnma, No. 62
Total energy, eV/atom: -3.57
Energy relative to the lowest polymorph listed for this composition, meV/atom: 15
V, Å³/atom: 16.9

Cell lengths 9.6229, 6.0998, 8.0600 Å; angles 90.00, 90.00, 90.00 degrees
Element x y z (fractional)
Li (0.0824, 0.0158, 0.1614)
Li (0.0824, 0.4842, 0.1614)
Li (0.1293, 0.5067, 0.5522)
Li (0.1293, 0.9933, 0.5522)
Li (0.1904, 0.2500, 0.8249)
Li (0.3096, 0.7500, 0.3249)
Li (0.3707, 0.0067, 0.0522)
Li (0.3707, 0.4933, 0.0522)
Li (0.4176, 0.5158, 0.6614)
Li (0.4176, 0.9842, 0.6614)
Li (0.5824, 0.0158, 0.3386)
Li (0.5824, 0.4842, 0.3386)
Li (0.6293, 0.5067, 0.9478)
Li (0.6293, 0.9933, 0.9478)
Li (0.6904, 0.2500, 0.6751)
Li (0.8096, 0.7500, 0.1751)
Li (0.8707, 0.0067, 0.4478)
Li (0.8707, 0.4933, 0.4478)
Li (0.9176, 0.5158, 0.8386)
Li (0.9176, 0.9842, 0.8386)
Sb (0.1753, 0.7500, 0.8673)
Sb (0.3247, 0.2500, 0.3673)
Sb (0.6753, 0.7500, 0.6327)
Sb (0.8247, 0.2500, 0.1327)
S (0.0375, 0.7500, 0.3566)
S (0.4625, 0.2500, 0.8566)
S (0.5375, 0.7500, 0.1434)
S (0.9625, 0.2500, 0.6434)

9.
Computed, not measured: an optimized crystal structure of HfTi3Cl at the GGA-PBEsol level of DFT.

Values from the calculation:
Formation energy from raw total energies, eV/atom: 1.31
Size of the total moment, μB/f.u.: 2.4
Space group: Pm-3m, No. 221
Total energy, eV/atom: -6.18
V, Å³/atom: 23.5
Density of states at the Fermi level, states/eV per cell: 7.9

Cell lengths 4.8967, 4.8967, 4.8967 Å; angles 90.00, 90.00, 90.00 degrees
Element x y z (fractional)
Hf (0.0000, 0.0000, 0.0000)
Ti (0.0000, 0.0000, 0.5000)
Ti (0.0000, 0.5000, 0.0000)
Ti (0.5000, 0.0000, 0.0000)
Cl (0.5000, 0.5000, 0.5000)

10.
Computed, not measured: an optimized crystal structure of MnSe at the GGA-PBEsol level of DFT.

Values from the calculation:
Formation energy from raw total energies, eV/atom: -0.25
Size of the total moment, μB/f.u.: 2.8
Space group: Cmcm, No. 63
Total energy, eV/atom: -7.05
V, Å³/atom: 17.4
Density of states at the Fermi level, states/eV per cell: 5.0

Cell lengths 3.2202, 13.3949, 3.2230 Å; angles 90.00, 90.00, 90.00 degrees
Element x y z (fractional)
Mn (0.0000, 0.1948, 0.2500)
Mn (0.0000, 0.8052, 0.7500)
Mn (0.5000, 0.3052, 0.7500)
Mn (0.5000, 0.6948, 0.2500)
Se (0.0000, 0.3799, 0.2500)
Se (0.0000, 0.6201, 0.7500)
Se (0.5000, 0.1201, 0.7500)
Se (0.5000, 0.8799, 0.2500)

11.
Computed, not measured: an optimized crystal structure of LiCa2Pt at the GGA-PBEsol level of DFT.

Values from the calculation:
Size of the total moment, μB/f.u.: 0.0
Space group: Amm2, No. 38
Total energy, eV/atom: -3.78
V, Å³/atom: 24.0
DFT formation energy, eV/atom: -0.478
Density of states at the Fermi level, states/eV per cell: 4.2

Cell lengths 4.3125, 4.1435, 10.7262 Å; angles 90.00, 90.00, 90.00 degrees
Element x y z (fractional)
Li (0.0000, 0.0000, 0.0000)
Li (0.0000, 0.5000, 0.5000)
Ca (0.0000, 0.0000, 0.6956)
Ca (0.0000, 0.5000, 0.1956)
Ca (0.5000, 0.0000, 0.4135)
Ca (0.5000, 0.5000, 0.9135)
Pt (0.5000, 0.0000, 0.1243)
Pt (0.5000, 0.5000, 0.6243)

12.
Computed, not measured: an optimized crystal structure of ScSb2 at the GGA-PBEsol level of DFT.

Values from the calculation:
Formation energy from raw total energies, eV/atom: -0.42
Size of the total moment, μB/f.u.: 0.0
Space group: Pnnm, No. 58
Total energy, eV/atom: -5.66
V, Å³/atom: 27.0
Density of states at the Fermi level, states/eV per cell: 3.8

Cell lengths 6.5633, 7.4788, 3.3016 Å; angles 90.00, 90.00, 90.00 degrees
Element x y z (fractional)
Sc (0.0000, 0.0000, 0.0000)
Sc (0.5000, 0.5000, 0.5000)
Sb (0.1568, 0.3681, 0.0000)
Sb (0.3432, 0.8681, 0.5000)
Sb (0.6568, 0.1319, 0.5000)
Sb (0.8432, 0.6319, 0.0000)

13.
Computed, not measured: an optimized crystal structure of Mg4Ir at the GGA-PBEsol level of DFT.

Values from the calculation:
Size of the total moment, μB/f.u.: 0.0
Space group: I4/m, No. 87
Total energy, eV/atom: -3.51
V, Å³/atom: 17.7
DFT formation energy, eV/atom: -0.170
Density of states at the Fermi level, states/eV per cell: 3.8

Cell lengths 6.4809, 6.4809, 4.2123 Å; angles 90.00, 90.00, 90.00 degrees
Element x y z (fractional)
Mg (0.1119, 0.2859, 0.0000)
Mg (0.2141, 0.6119, 0.5000)
Mg (0.2859, 0.8881, 0.0000)
Mg (0.3881, 0.2141, 0.5000)
Mg (0.6119, 0.7859, 0.5000)
Mg (0.7141, 0.1119, 0.0000)
Mg (0.7859, 0.3881, 0.5000)
Mg (0.8881, 0.7141, 0.0000)
Ir (0.0000, 0.0000, 0.5000)
Ir (0.5000, 0.5000, 0.0000)